Record 1
## Ta2TiB2 (SCAN)

Data for a PBEsol-optimized structure of Ta2TiB2.

Lattice parameters (Å, degrees): 3.2367 6.0802 6.0802 90.00 90.00 90.00
With the nearest neighbours (Å) after each atom.
Fractional coordinates of all 10 atoms:
1 B 0.0000 0.3926 0.8926  1 B 1.85
2 B 0.0000 0.8926 0.6074  1 B 1.85
3 B 0.0000 0.6074 0.1074  1 B 1.85
4 B 0.0000 0.1074 0.3926  1 B 1.85
5 Ti 0.0000 0.0000 0.0000  4 B 2.47, 8 Ta 2.76
6 Ti 0.0000 0.5000 0.5000  4 B 2.47, 8 Ta 2.76
7 Ta 0.5000 0.1793 0.6793  6 B 2.42-2.45
8 Ta 0.5000 0.6793 0.8207  6 B 2.42-2.45
9 Ta 0.5000 0.8207 0.3207  6 B 2.42-2.45
10 Ta 0.5000 0.3207 0.1793  6 B 2.42-2.45

Results
space-group type	P4/mbm, No. 127
crystal system	tetragonal

---

Record 2
## Ta3TiB4 (SCAN)

Data for a PBEsol-optimized structure of Ta3TiB4.

Lattice parameters (Å, degrees): 3.1146 3.2551 8.6165 90.00 90.00 90.00
With the nearest neighbours (Å) after each atom.
Fractional coordinates of all 8 atoms:
1 B 0.0000 0.0000 0.4378  2 B 1.87
2 B 0.0000 0.5000 0.9449  2 B 1.85
3 B 0.5000 0.5000 0.0616  2 B 1.85
4 B 0.5000 0.0000 0.5577  2 B 1.87
5 Ta 0.0000 0.5000 0.6455  7 B 2.38-2.58
6 Ta 0.5000 0.5000 0.3505  7 B 2.37-2.49
7 Ta 0.5000 0.0000 0.8570  7 B 2.38-2.58
8 Ti 0.0000 0.0000 0.1450  7 B 2.36-2.52

Results
space-group type	Pmm2, No. 25
crystal system	orthorhombic

---

Record 3
## TaTl2B (SCAN)

Data for a PBEsol-optimized structure of TaTl2B.

Lattice parameters (Å, degrees): 4.8042 4.8042 4.8042 60.00 60.00 60.00
With the nearest neighbours (Å) after each atom.
Fractional coordinates of all 4 atoms:
1 Tl 0.2500 0.2500 0.2500  4 Ta 2.94, 4 B 2.94
2 Tl 0.7500 0.7500 0.7500  4 Ta 2.94, 4 B 2.94
3 B 0.0000 0.0000 0.0000  8 Tl 2.94
4 Ta 0.5000 0.5000 0.5000  8 Tl 2.94

Results
space-group type	Fm-3m, No. 225
crystal system	cubic

---

Number 1: energy of formation -683 meV per atom, magnetic moment 0.0 μB per formula unit. Number 2: energy of formation -851 meV per atom, magnetic moment 0.0 μB per formula unit. Number 3: energy of formation 1725 meV per atom, magnetic moment 2.0 μB per formula unit.